(i)
The following is a DFT calculation (GGA-PBE) of a relaxed Sr2SnHg2 crystal.

Structure (POSCAR):
```
Sr2SnHg2
1.0
-2.1116 2.1116 9.5340
2.1116 -2.1116 9.5340
2.1116 2.1116 -9.5340
Sr Sn Hg
2 1 2
Cartesian
0.0000 0.0000 1.9568
0.0000 0.0000 17.1113
0.0000 0.0000 9.5340
2.1116 0.0000 4.7670
0.0000 2.1116 4.7670
```

Output
Space-group type: I4/mmm (139)



(ii)
The following is a DFT calculation (GGA-PBE) of a relaxed Sr2SnHg2 crystal.

Structure (POSCAR):
```
Sr2SnHg2
1.0
-3.1602 3.1602 4.4337
3.1602 -3.1602 4.4337
3.1602 3.1602 -4.4337
Sr Sn Hg
2 1 2
Cartesian
3.1602 0.0000 2.2169
0.0000 3.1602 2.2169
0.0000 0.0000 0.0000
0.0000 0.0000 3.0451
0.0000 0.0000 5.8224
```

Output
Space-group type: I4/mmm (139)



(iii)
The following is a DFT calculation (GGA-PBE) of a relaxed Sr2SnHg2 crystal.

Structure (POSCAR):
```
Sr2SnHg2
1.0
8.5031 0.0000 0.0000
0.0000 8.5031 0.0000
0.0000 0.0000 4.3740
Sr Sn Hg
4 2 4
Cartesian
1.5120 2.7395 0.0000
2.7395 6.9910 0.0000
5.7636 1.5120 0.0000
6.9910 5.7636 0.0000
0.0000 0.0000 2.1870
4.2515 4.2515 2.1870
1.0514 5.3029 2.1870
3.2002 1.0514 2.1870
5.3029 7.4517 2.1870
7.4517 3.2002 2.1870
```

Output
Space-group type: P4/mbm (127)



(iv)
The following is a DFT calculation (GGA-PBE) of a relaxed Sr2SnHg2 crystal.

Structure (POSCAR):
```
Sr2SnHg2
1.0
9.1173 0.0000 0.0000
0.0000 9.1173 0.0000
0.0000 0.0000 4.0596
Sr Sn Hg
4 2 4
Cartesian
1.4910 3.0677 0.0000
3.0677 7.6263 0.0000
6.0496 1.4910 0.0000
7.6263 6.0496 0.0000
0.0000 0.0000 0.0000
4.5586 4.5586 0.0000
1.2157 5.7743 2.0298
3.3430 1.2157 2.0298
5.7743 7.9016 2.0298
7.9016 3.3430 2.0298
```

Output
Space-group type: P4/mbm (127)



Which is most stable? The ranking, best first, is (iii), (i), (ii), (iv).